Entry 1:
Computed, not measured: LuMgAgHg after structural relaxation at the PBE-GGA level of DFT.

The structure belongs to space group F-43m (No. 216); the cell edges are 6.977, 6.977 and 6.977 Å and the angles 90.00°, 90.00° and 90.00°. The distinct sites, in fractional coordinates, are Lu at (0.000, 0.000, 0.000), Mg at (0.000, 0.000, 0.500), Ag at (0.250, 0.250, 0.250) and Hg at (0.250, 0.250, 0.750).

As for the total energy: -2.670 eV per atom. The size of the total moment is 0.0 μB/f.u. The offset from the most stable computed form is 0.0 kJ per mole of atoms.

Entry 2:
Computed, not measured: LuAgHgTe3 after structural relaxation at the PBE-GGA level of DFT.

The structure belongs to space group Cmcm (No. 63); the cell edges are 4.087, 14.984 and 11.151 Å and the angles 90.00°, 90.00° and 90.00°. The distinct sites, in fractional coordinates, are Lu at (0.000, 0.000, 0.000), Ag at (0.000, 0.472, 0.250), Hg at (0.000, 0.234, 0.750), Te at (0.000, 0.101, 0.250) and Te at (0.000, 0.357, 0.053).

As for the total energy: -3.336 eV per atom. The size of the total moment is 0.0 μB/f.u.

Entry 3:
Computed, not measured: MgAgHg2 after structural relaxation at the PBE-GGA level of DFT.

The structure belongs to space group F-43m (No. 216); the cell edges are 6.908, 6.908 and 6.908 Å and the angles 90.00°, 90.00° and 90.00°. The distinct sites, in fractional coordinates, are Mg at (0.000, 0.000, 0.000), Ag at (0.250, 0.250, 0.250), Hg at (0.000, 0.000, 0.500) and Hg at (0.250, 0.250, 0.750).

As for the total energy: -1.290 eV per atom.

Entry 4:
Computed, not measured: Mg2AgHg after structural relaxation at the PBE-GGA level of DFT.

The structure belongs to space group Pmm2 (No. 25); the cell edges are 3.371, 4.788 and 4.789 Å and the angles 90.00°, 90.00° and 90.00°. The distinct sites, in fractional coordinates, are Mg at (0.000, 0.000, 0.000), Mg at (0.000, 0.500, 0.496), Ag at (0.500, 0.000, 0.500) and Hg at (0.500, 0.500, 0.995).

As for the total energy: -1.783 eV per atom.

Entry 5:
Computed, not measured: Mg6AgHg after structural relaxation at the PBE-GGA level of DFT.

The structure belongs to space group P-6m2 (No. 187); the cell edges are 6.2126, 6.2126 and 4.9345 Å and the angles 90.00°, 90.00° and 120.00°. The distinct sites, in fractional coordinates, are Mg at (0.0085, 0.5043, 0.0000), Mg at (0.3303, 0.1652, 0.5000), Ag at (0.3333, 0.6667, 0.5000) and Hg at (0.0000, 0.0000, 0.0000).

As for the total energy: -1.691 eV per atom.

Entry 6:
Computed, not measured: Nd3Mg3Ag2Hg after structural relaxation at the PBE-GGA level of DFT.

The structure belongs to space group P-62m (No. 189); the cell edges are 7.7752, 7.7752 and 4.3944 Å and the angles 90.00°, 90.00° and 120.00°. The distinct sites, in fractional coordinates, are Nd at (0.0000, 0.5846, 0.0000), Mg at (0.0000, 0.2465, 0.5000), Ag at (0.3333, 0.6667, 0.5000) and Hg at (0.0000, 0.0000, 0.0000).

As for the total energy: -3.069 eV per atom. The size of the total moment is 0.0 μB/f.u.

Entry 7:
Computed, not measured: Nd2YMg3AgHg2 after structural relaxation at the PBE-GGA level of DFT.

The structure belongs to space group Amm2 (No. 38); the cell edges are 4.240, 13.691 and 7.903 Å and the angles 90.00°, 90.00° and 90.00°. The distinct sites, in fractional coordinates, are Nd at (0.000, 0.205, 0.000), Y at (0.000, 0.000, 0.613), Mg at (0.500, 0.000, 0.961), Mg at (0.500, 0.120, 0.328), Ag at (0.000, 0.000, 0.209) and Hg at (0.500, 0.163, 0.703).

As for the total energy: -3.042 eV per atom. The size of the total moment is 0.0 μB/f.u.

Entry 8:
Computed, not measured: Pr3Mg3AgHgPd after structural relaxation at the PBE-GGA level of DFT.

The structure belongs to space group P-6 (No. 174); the cell edges are 7.8613, 7.8613 and 4.2388 Å and the angles 90.00°, 90.00° and 120.00°. The distinct sites, in fractional coordinates, are Pr at (0.0921, 0.7415, 0.0000), Mg at (0.4260, 0.0906, 0.5000), Ag at (0.6667, 0.3333, 0.0000), Hg at (0.0000, 0.0000, 0.5000) and Pd at (0.3333, 0.6667, 0.5000).

As for the total energy: -3.469 eV per atom. The size of the total moment is 0.0 μB/f.u.

Entry 9:
Computed, not measured: Pr3Mg3AgHgPt after structural relaxation at the PBE-GGA level of DFT.

The structure belongs to space group P-6 (No. 174); the cell edges are 7.9628, 7.9628 and 4.1273 Å and the angles 90.00°, 90.00° and 120.00°. The distinct sites, in fractional coordinates, are Pr at (0.0948, 0.7388, 0.0000), Mg at (0.4231, 0.0890, 0.5000), Ag at (0.6667, 0.3333, 0.0000), Hg at (0.0000, 0.0000, 0.5000) and Pt at (0.3333, 0.6667, 0.5000).

As for the total energy: -3.656 eV per atom. The size of the total moment is 0.0 μB/f.u.

Entry 10:
Computed, not measured: Pr2SmMg3AgHg2 after structural relaxation at the PBE-GGA level of DFT.

The structure belongs to space group Amm2 (No. 38); the cell edges are 4.297, 13.761 and 7.960 Å and the angles 90.00°, 90.00° and 90.00°. The distinct sites, in fractional coordinates, are Pr at (0.000, 0.205, 0.000), Sm at (0.000, 0.000, 0.385), Mg at (0.500, 0.000, 0.036), Mg at (0.500, 0.119, 0.673), Ag at (0.000, 0.000, 0.792) and Hg at (0.500, 0.164, 0.296).

As for the total energy: -2.840 eV per atom. The size of the total moment is 0.0 μB/f.u.

Entry 11:
Computed, not measured: Pr2TmMg3AgHg2 after structural relaxation at the PBE-GGA level of DFT.

The structure belongs to space group Amm2 (No. 38); the cell edges are 4.253, 13.650 and 7.915 Å and the angles 90.00°, 90.00° and 90.00°. The distinct sites, in fractional coordinates, are Pr at (0.000, 0.205, 0.000), Tm at (0.000, 0.000, 0.614), Mg at (0.500, 0.000, 0.963), Mg at (0.500, 0.119, 0.330), Ag at (0.000, 0.000, 0.213) and Hg at (0.500, 0.159, 0.702).

As for the total energy: -2.807 eV per atom. The size of the total moment is 0.0 μB/f.u.

Entry 12:
Computed, not measured: PrTm2Mg3AgHg2 after structural relaxation at the PBE-GGA level of DFT.

The structure belongs to space group Amm2 (No. 38); the cell edges are 4.196, 13.553 and 7.746 Å and the angles 90.00°, 90.00° and 90.00°. The distinct sites, in fractional coordinates, are Pr at (0.000, 0.000, 0.000), Tm at (0.000, 0.204, 0.616), Mg at (0.500, 0.000, 0.654), Mg at (0.500, 0.123, 0.292), Ag at (0.000, 0.000, 0.421) and Hg at (0.500, 0.173, 0.910).

As for the total energy: -2.771 eV per atom. The size of the total moment is 0.1 μB/f.u.

Entry 13:
Computed, not measured: Pr2YMg3AgHg2 after structural relaxation at the PBE-GGA level of DFT.

The structure belongs to space group Amm2 (No. 38); the cell edges are 4.260, 13.746 and 7.925 Å and the angles 90.00°, 90.00° and 90.00°. The distinct sites, in fractional coordinates, are Pr at (0.000, 0.205, 0.000), Y at (0.000, 0.000, 0.613), Mg at (0.500, 0.000, 0.961), Mg at (0.500, 0.119, 0.329), Ag at (0.000, 0.000, 0.210) and Hg at (0.500, 0.162, 0.703).

As for the total energy: -3.041 eV per atom. The size of the total moment is 0.0 μB/f.u.

Entry 14:
Computed, not measured: PrY2Mg3AgHg2 after structural relaxation at the PBE-GGA level of DFT.

The structure belongs to space group Amm2 (No. 38); the cell edges are 4.207, 13.665 and 7.820 Å and the angles 90.00°, 90.00° and 90.00°. The distinct sites, in fractional coordinates, are Pr at (0.000, 0.000, 0.000), Y at (0.000, 0.204, 0.614), Mg at (0.500, 0.000, 0.652), Mg at (0.500, 0.123, 0.290), Ag at (0.000, 0.000, 0.415) and Hg at (0.500, 0.171, 0.908).

As for the total energy: -3.240 eV per atom. The size of the total moment is 0.0 μB/f.u.

Entry 15:
Computed, not measured: Mg4Sc2AgHg after structural relaxation at the PBE-GGA level of DFT.

The structure belongs to space group P-4m2 (No. 115); the cell edges are 4.896, 4.896 and 6.875 Å and the angles 90.00°, 90.00° and 90.00°. The distinct sites, in fractional coordinates, are Mg at (0.000, 0.000, 0.000), Mg at (0.000, 0.500, 0.243), Mg at (0.500, 0.500, 0.500), Sc at (0.000, 0.500, 0.753), Ag at (0.500, 0.500, 0.000) and Hg at (0.000, 0.000, 0.500).

As for the total energy: -2.950 eV per atom. The size of the total moment is 0.0 μB/f.u.

Entry 16:
Computed, not measured: MgScAgHg after structural relaxation at the PBE-GGA level of DFT.

The structure belongs to space group F-43m (No. 216); the cell edges are 6.836, 6.836 and 6.836 Å and the angles 90.00°, 90.00° and 90.00°. The distinct sites, in fractional coordinates, are Mg at (0.000, 0.000, 0.000), Sc at (0.000, 0.000, 0.500), Ag at (0.250, 0.250, 0.250) and Hg at (0.250, 0.250, 0.750).

As for the total energy: -3.105 eV per atom. The size of the total moment is 0.0 μB/f.u.

Entry 17:
Computed, not measured: Mg2Sc2Zn2AgHg after structural relaxation at the PBE-GGA level of DFT.

The structure belongs to space group P-4m2 (No. 115); the cell edges are 4.766, 4.766 and 6.689 Å and the angles 90.00°, 90.00° and 90.00°. The distinct sites, in fractional coordinates, are Mg at (0.000, 0.500, 0.243), Sc at (0.000, 0.500, 0.753), Zn at (0.000, 0.000, 0.000), Zn at (0.500, 0.500, 0.500), Ag at (0.500, 0.500, 0.000) and Hg at (0.000, 0.000, 0.500).

As for the total energy: -3.003 eV per atom. The size of the total moment is 0.0 μB/f.u.

Entry 18:
Computed, not measured: SmMgAgHg after structural relaxation at the PBE-GGA level of DFT.

The structure belongs to space group F-43m (No. 216); the cell edges are 7.158, 7.158 and 7.158 Å and the angles 90.00°, 90.00° and 90.00°. The distinct sites, in fractional coordinates, are Sm at (0.000, 0.000, 0.000), Mg at (0.000, 0.000, 0.500), Ag at (0.250, 0.250, 0.750) and Hg at (0.250, 0.250, 0.250).

As for the total energy: -2.748 eV per atom. The size of the total moment is 0.0 μB/f.u.

Entry 19:
Computed, not measured: Y3Mg3Ag2Hg after structural relaxation at the PBE-GGA level of DFT.

The structure belongs to space group P-62m (No. 189); the cell edges are 7.7274, 7.7274 and 4.1683 Å and the angles 90.00°, 90.00° and 120.00°. The distinct sites, in fractional coordinates, are Y at (0.0000, 0.4125, 0.0000), Mg at (0.0000, 0.7490, 0.5000), Ag at (0.3333, 0.6667, 0.5000) and Hg at (0.0000, 0.0000, 0.0000).

As for the total energy: -3.656 eV per atom. The size of the total moment is 0.0 μB/f.u.

Entry 20:
Computed, not measured: Ag2HgMoSe4 after structural relaxation at the PBE-GGA level of DFT.

The structure belongs to space group Pmn2_1 (No. 31); the cell edges are 8.766, 7.269 and 7.112 Å and the angles 90.00°, 90.00° and 90.00°. The distinct sites, in fractional coordinates, are Ag at (0.244, 0.178, 0.000), Hg at (0.000, 0.347, 0.500), Mo at (0.000, 0.693, 0.004), Se at (0.000, 0.376, 0.093), Se at (0.000, 0.707, 0.670) and Se at (0.224, 0.832, 0.127).

As for the total energy: -3.961 eV per atom. The size of the total moment is 0.0 μB/f.u.